Here is a relaxed Cs3ZrPb crystal from the Alexandria database. Energies are from PBE.

a b c (Å): 6.9865 6.9865 6.9865
angles (deg): 90.00 90.00 90.00
Atoms (fractional coordinates):
Cs 0.0000 0.0000 0.5000
Cs 0.0000 0.5000 0.0000
Cs 0.5000 0.0000 0.0000
Zr 0.0000 0.0000 0.0000
Pb 0.5000 0.5000 0.5000

Symmetry = Pm-3m, No. 221
N(E_F) = 5.136 states/eV per cell
ΔE_f = 1.098 eV per atom